# GGA-PBE AcGdGaOs, relaxed
data_AcGdGaOs
_chemical_formula_sum 'Ac1 Gd1 Ga1 Os1'
_cell_length_a 5.1774
_cell_length_b 5.1774
_cell_length_c 5.1774
_cell_angle_alpha 60.00
_cell_angle_beta 60.00
_cell_angle_gamma 60.00
_space_group_name_H-M_alt 'P 1'
_space_group_IT_number 1
_space_group_name_Hall 'P 1'
loop_
_atom_site_label
_atom_site_type_symbol
_atom_site_fract_x
_atom_site_fract_y
_atom_site_fract_z
Ac1 Ac 0.0000 0.0000 0.0000
Gd1 Gd 0.5000 0.5000 0.5000
Ga1 Ga 0.7500 0.7500 0.7500
Os1 Os 0.2500 0.2500 0.2500
# Energy of formation = -0.11 eV per atom
# Size of the total moment = 6.89 μB/f.u.
# Density of states at the Fermi level = 0.622 states/eV/atom
# Calculated density = 10.9 g/cm3